## KY3As (meta-GGA SCAN)

Data for a crystal of KY3As relaxed with PBEsol.

The structure in POSCAR format:
```
KY3As
1.0
5.5594 0.0000 0.0000
0.0000 5.5594 0.0000
0.0000 0.0000 5.5594
K Y As
1 3 1
Direct
0.0000 0.0000 0.0000
0.0000 0.5000 0.5000
0.5000 0.0000 0.5000
0.5000 0.5000 0.0000
0.5000 0.5000 0.5000
```

Results
Energy of formation ... -19.87 kJ/mol of atoms
N(E_F) ... 5.7 states/eV/f.u.

=====

## Ta2CrIn (meta-GGA SCAN)

Data for a crystal of Ta2CrIn relaxed with PBEsol.

The structure in POSCAR format:
```
Ta2CrIn
1.0
2.8784 0.0000 0.0000
0.0000 4.4161 0.0000
-1.1184 0.0000 5.3605
Ta Cr In
2 1 1
Direct
0.0000 0.0000 0.0000
0.3015 0.5000 0.7506
0.7521 0.5000 0.1890
0.6426 0.0000 0.4747
```

Results
Energy of formation ... 21.00 kJ/mol of atoms
N(E_F) ... 3.3 states/eV/f.u.

=====

## TmMn2Si2 (meta-GGA SCAN)

Data for a crystal of TmMn2Si2 relaxed with PBEsol.

The structure in POSCAR format:
```
TmMn2Si2
1.0
3.8150 0.0000 0.0000
0.0000 3.8150 0.0000
0.0000 0.0000 10.1636
Tm Mn Si
2 4 4
Direct
0.0000 0.0000 0.0000
0.5000 0.5000 0.5000
0.0000 0.5000 0.2500
0.0000 0.5000 0.7500
0.5000 0.0000 0.2500
0.5000 0.0000 0.7500
0.0000 0.0000 0.3809
0.0000 0.0000 0.6191
0.5000 0.5000 0.1191
0.5000 0.5000 0.8809
```

Results
N(E_F) ... 2.7 states/eV/f.u.
Uncorrected formation energy ... -343 kJ/mol of formula units

=====

## ReSb2Rh (meta-GGA SCAN)

Data for a crystal of ReSb2Rh relaxed with PBEsol.

The structure in POSCAR format:
```
ReSb2Rh
1.0
8.4299 0.0000 0.0000
0.0000 3.1772 0.0000
-1.2220 0.0000 5.2898
Re Sb Rh
2 4 2
Direct
0.0000 0.0000 0.0000
0.5000 0.5000 0.0000
0.2489 0.5000 0.2447
0.2511 0.0000 0.7553
0.7489 0.0000 0.2447
0.7511 0.5000 0.7553
0.0000 0.5000 0.5000
0.5000 0.0000 0.5000
```

Results
N(E_F) ... 2.6 states/eV/f.u.
Energy above the lowest structure with this stoichiometry ... 130 meV/atom
Uncorrected formation energy ... 123 kJ/mol of formula units